[1]
# ZnTcP2 (PBE, optimized geometry)
data_ZnTcP2
_cell_length_a 6.081
_cell_length_b 6.081
_cell_length_c 6.081
_cell_angle_alpha 90.00
_cell_angle_beta 90.00
_cell_angle_gamma 90.00
_symmetry_space_group_name_H-M 'F -4 3 m'
_symmetry_Int_Tables_number 216
_symmetry_space_group_name_Hall 'F -4 2 3'
loop_
_atom_site_label
_atom_site_type_symbol
_atom_site_fract_x
_atom_site_fract_y
_atom_site_fract_z
_atom_site_occupancy
Zn1 Zn 0.000 0.000 0.000 1
Tc1 Tc 0.250 0.250 0.250 1
P1 P 0.000 0.000 0.500 1
P2 P 0.250 0.250 0.750 1
# Energy of formation (eV/atom): 0.511

[2]
# NaRu3Cl (PBE, optimized geometry)
data_NaRu3Cl
_cell_length_a 4.793
_cell_length_b 4.793
_cell_length_c 4.793
_cell_angle_alpha 90.00
_cell_angle_beta 90.00
_cell_angle_gamma 90.00
_symmetry_space_group_name_H-M 'P m -3 m'
_symmetry_Int_Tables_number 221
_symmetry_space_group_name_Hall '-P 4 2 3'
loop_
_atom_site_label
_atom_site_type_symbol
_atom_site_fract_x
_atom_site_fract_y
_atom_site_fract_z
_atom_site_occupancy
Na1 Na 0.000 0.000 0.000 1
Ru1 Ru 0.000 0.000 0.500 1
Cl1 Cl 0.500 0.500 0.500 1
# Polymorph energy (0 for the lowest one) (meV per atom): 1365.9
# Raw formation energy (meV per atom): 2470

[3]
# TiTlF2 (PBE, optimized geometry)
data_TiTlF2
_cell_length_a 6.377
_cell_length_b 6.377
_cell_length_c 6.377
_cell_angle_alpha 90.00
_cell_angle_beta 90.00
_cell_angle_gamma 90.00
_symmetry_space_group_name_H-M 'F m -3 m'
_symmetry_Int_Tables_number 225
_symmetry_space_group_name_Hall '-F 4 2 3'
loop_
_atom_site_label
_atom_site_type_symbol
_atom_site_fract_x
_atom_site_fract_y
_atom_site_fract_z
_atom_site_occupancy
Ti1 Ti 0.000 0.000 0.000 1
Tl1 Tl 0.000 0.000 0.500 1
F1 F 0.250 0.250 0.250 1
# Polymorph energy (0 for the lowest one) (meV per atom): 705.4
# Raw formation energy (meV per atom): -1139

[4]
# KNb3Cr (PBE, optimized geometry)
data_KNb3Cr
_cell_length_a 4.815
_cell_length_b 4.815
_cell_length_c 4.815
_cell_angle_alpha 90.00
_cell_angle_beta 90.00
_cell_angle_gamma 90.00
_symmetry_space_group_name_H-M 'P m -3 m'
_symmetry_Int_Tables_number 221
_symmetry_space_group_name_Hall '-P 4 2 3'
loop_
_atom_site_label
_atom_site_type_symbol
_atom_site_fract_x
_atom_site_fract_y
_atom_site_fract_z
_atom_site_occupancy
K1 K 0.000 0.000 0.000 1
Nb1 Nb 0.000 0.500 0.500 1
Cr1 Cr 0.500 0.500 0.500 1
# Polymorph energy (0 for the lowest one) (meV per atom): 0.0
# Energy of formation (eV/atom): 1.241

[5]
# Li2ZnCdN (PBE, optimized geometry)
data_Li2ZnCdN
_cell_length_a 4.282
_cell_length_b 4.282
_cell_length_c 3.931
_cell_angle_alpha 90.00
_cell_angle_beta 90.00
_cell_angle_gamma 90.00
_symmetry_space_group_name_H-M 'P 4/m m m'
_symmetry_Int_Tables_number 123
_symmetry_space_group_name_Hall '-P 4 2'
loop_
_atom_site_label
_atom_site_type_symbol
_atom_site_fract_x
_atom_site_fract_y
_atom_site_fract_z
_atom_site_occupancy
Li1 Li 0.000 0.500 0.000 1
Zn1 Zn 0.000 0.000 0.500 1
Cd1 Cd 0.500 0.500 0.500 1
N1 N 0.000 0.000 0.000 1
# Raw formation energy (meV per atom): -110

[6]
# CuSe2I2 (PBE, optimized geometry)
data_CuSe2I2
_cell_length_a 20.235
_cell_length_b 3.903
_cell_length_c 4.262
_cell_angle_alpha 90.00
_cell_angle_beta 93.53
_cell_angle_gamma 90.00
_symmetry_space_group_name_H-M 'C 1 m 1'
_symmetry_Int_Tables_number 8
loop_
_symmetry_equiv_pos_as_xyz
'x,y,z'
'x,-y,z'
'x+1/2,y+1/2,z'
'x+1/2,-y+1/2,z'
loop_
_atom_site_label
_atom_site_type_symbol
_atom_site_fract_x
_atom_site_fract_y
_atom_site_fract_z
_atom_site_occupancy
Cu1 Cu 0.000 0.000 0.000 1
Se1 Se 0.068 0.500 0.104 1
Se2 Se 0.155 0.500 0.766 1
I1 I 0.264 0.500 0.129 1
I2 I 0.427 0.500 0.481 1
# Raw formation energy (meV per atom): -45

[7]
# TaZnTe2 (PBE, optimized geometry)
data_TaZnTe2
_cell_length_a 3.570
_cell_length_b 3.712
_cell_length_c 14.487
_cell_angle_alpha 90.00
_cell_angle_beta 90.00
_cell_angle_gamma 90.00
_symmetry_space_group_name_H-M 'I m m 2'
_symmetry_Int_Tables_number 44
loop_
_symmetry_equiv_pos_as_xyz
'x,y,z'
'-x,-y,z'
'-x,y,z'
'x,-y,z'
'x+1/2,y+1/2,z+1/2'
'-x+1/2,-y+1/2,z+1/2'
'-x+1/2,y+1/2,z+1/2'
'x+1/2,-y+1/2,z+1/2'
loop_
_atom_site_label
_atom_site_type_symbol
_atom_site_fract_x
_atom_site_fract_y
_atom_site_fract_z
_atom_site_occupancy
Ta1 Ta 0.000 0.000 0.000 1
Zn1 Zn 0.000 0.500 0.236 1
Te1 Te 0.000 0.000 0.411 1
Te2 Te 0.000 0.500 0.648 1
# Raw formation energy (meV per atom): 106

[8]
# MgTiH (PBE, optimized geometry)
data_MgTiH
_cell_length_a 3.548
_cell_length_b 3.556
_cell_length_c 6.653
_cell_angle_alpha 90.00
_cell_angle_beta 90.24
_cell_angle_gamma 90.00
_symmetry_space_group_name_H-M 'P 1 21/m 1'
_symmetry_Int_Tables_number 11
loop_
_symmetry_equiv_pos_as_xyz
'x,y,z'
'-x,-y,-z'
'-x,y+1/2,-z'
'x,-y+1/2,z'
loop_
_atom_site_label
_atom_site_type_symbol
_atom_site_fract_x
_atom_site_fract_y
_atom_site_fract_z
_atom_site_occupancy
Mg1 Mg 0.249 0.250 0.133 1
Ti1 Ti 0.250 0.250 0.594 1
H1 H 0.251 0.750 0.501 1
# Polymorph energy (0 for the lowest one) (meV per atom): 0.0

For the records above, the corresponding final energy values read -0.188, -0.137, -0.171, -0.255, -0.109, -0.106, -0.174, -0.164 hartree per atom.